Compound: PaIrN
Source: Alexandria
Functional: PBE-GGA
Structure: relaxed

For the raw formation energy, the calculation gives -1.5 eV/f.u. The energy is -28.18 eV per cell.

It has space group P3m1 (No. 156), with a = 3.5760 Å, b = 3.5760 Å, c = 4.7573 Å, α = 90.00°, β = 90.00° and γ = 120.00°. Symmetry generates all atoms from Pa at (0.0000, 0.0000, 0.0000), Ir at (0.3333, 0.6667, 0.6089) and N at (0.6667, 0.3333, 0.1802).